No. 1
Density functional theory data (PBE) for a relaxed CaYIn2Ir crystal.

a b c (Å): 5.202 5.202 5.216
angles (deg): 90.00 90.00 90.00
Space group P4/mmm (No. 123)
Unique sites:
Ca (0.000, 0.000, 0.000)
Y (0.500, 0.500, 0.000)
In (0.000, 0.500, 0.500)
Ir (0.000, 0.000, 0.500)

Values from the calculation:
uncorrected energy	-0.171	hartree per atom
volume	28.2	A^3/atom
formation enthalpy at 0 K	-0.0802	eV per atom

=====

No. 2
Density functional theory data (PBE) for a relaxed Rb3HOs crystal.

a b c (Å): 5.564 5.564 5.564
angles (deg): 90.00 90.00 90.00
Space group Pm-3m (No. 221)
Unique sites:
Rb (0.000, 0.000, 0.500)
H (0.000, 0.000, 0.000)
Os (0.500, 0.500, 0.500)

Values from the calculation:
energy above the lowest structure with this stoichiometry	0	meV/atom
uncorrected energy	-0.091	hartree per atom
volume	34.4	A^3/atom

=====

No. 3
Density functional theory data (PBE) for a relaxed Ac5Te4S crystal.

a b c (Å): 4.5620 4.5620 59.1322
angles (deg): 90.00 90.00 120.00
Space group R-3m (No. 166, hexagonal axes)
Unique sites:
Ac (0.0000, 0.0000, 0.0000)
Ac (0.0000, 0.0000, 0.1937)
Ac (0.0000, 0.0000, 0.4025)
Te (0.0000, 0.0000, 0.1044)
Te (0.0000, 0.0000, 0.2987)
S (0.0000, 0.0000, 0.5000)

Values from the calculation:
energy relative to the elements, uncorrected	-1.58	eV/atom
uncorrected energy	-0.195	hartree per atom
volume	35.5	A^3/atom

=====

No. 4
Density functional theory data (PBE) for a relaxed CsGaN2F crystal.

a b c (Å): 5.000 5.000 5.352
angles (deg): 90.00 90.00 90.00
Space group P4/mmm (No. 123)
Unique sites:
Cs (0.000, 0.000, 0.000)
Ga (0.500, 0.500, 0.500)
N (0.000, 0.500, 0.000)
F (0.000, 0.000, 0.500)

Values from the calculation:
energy relative to the elements, uncorrected	1.47	eV/atom
energy above the lowest structure with this stoichiometry	1371	meV/atom
uncorrected energy	-0.111	hartree per atom
volume	26.8	A^3/atom

=====

No. 5
Density functional theory data (PBE) for a relaxed DySbS2 crystal.

a b c (Å): 4.4502 4.4502 16.2280
angles (deg): 90.00 90.00 120.00
Space group R-3m (No. 166, hexagonal axes)
Unique sites:
Dy (0.0000, 0.0000, 0.0000)
Sb (0.0000, 0.0000, 0.5000)
S (0.0000, 0.0000, 0.2515)

Values from the calculation:
energy relative to the elements, uncorrected	-0.77	eV/atom
uncorrected energy	-0.184	hartree per atom
volume	23.2	A^3/atom

=====

No. 6
Density functional theory data (PBE) for a relaxed BeTlSe2 crystal.

a b c (Å): 4.935 4.935 3.529
angles (deg): 90.00 90.00 90.00
Space group P4/mmm (No. 123)
Unique sites:
Be (0.000, 0.000, 0.000)
Tl (0.500, 0.500, 0.000)
Se (0.000, 0.500, 0.500)

Values from the calculation:
energy relative to the elements, uncorrected	0.49	eV/atom
energy above the lowest structure with this stoichiometry	898	meV/atom
uncorrected energy	-0.102	hartree per atom
volume	21.5	A^3/atom

=====

Q: Which value of volume does entry 1 give?
A: 28.2 A^3/atom